Entry from the Alexandria database: crystalline CoRe2Rh at its relaxed geometry (GGA-PBE).

a = 3.7171 Å, b = 3.7171 Å, c = 9.1468 Å
α = 78.28°, β = 78.28°, γ = 90.00°
With the nearest neighbours (Å) after each atom.
Element x y z (fractional)
Re 0.1575 0.6250 0.2500  2 Re 2.46, 2 Co 2.51, 2 Rh 2.60
Co 0.5000 0.5000 0.0000  4 Re 2.51, 4 Rh 2.63
Rh 0.7500 0.2500 0.5000  4 Re 2.60, 4 Co 2.63
Re 0.8750 0.8425 0.7500  2 Re 2.46, 2 Co 2.51, 2 Rh 2.60
Co 0.2500 0.7500 0.5000  4 Re 2.51, 4 Rh 2.63
Re 0.3750 0.4075 0.7500  2 Re 2.46, 2 Co 2.51, 2 Rh 2.60
Rh 0.0000 0.0000 0.0000  4 Re 2.60, 4 Co 2.63
Re 0.5925 0.1250 0.2500  2 Re 2.46, 2 Co 2.51, 2 Rh 2.60

E_tot = -9.25 eV per atom
distance to the lowest polymorph of the same formula = 683 meV/atom
DFT formation energy = 0.592 eV/atom



Entry from the Alexandria database: crystalline Nd4Sm3Er at its relaxed geometry (GGA-PBE).

a = 6.3630 Å, b = 7.3670 Å, c = 11.7442 Å
α = 90.00°, β = 90.00°, γ = 90.00°
With the nearest neighbours (Å) after each atom.
Element x y z (fractional)
Sm 0.6486 0.6238 0.0000  4 Sm 3.62, 6 Nd 3.64-3.70, 2 Er 3.66-3.67
Nd 0.6501 0.1267 0.5000  6 Nd 3.62-3.71, 4 Sm 3.63-3.68, 2 Er 3.65-3.71
Nd 0.4819 0.8727 0.2525  1 Er 3.60, 6 Nd 3.61-3.69, 5 Sm 3.64-3.72
Er 0.1473 0.3773 0.0000  6 Nd 3.60-3.71, 6 Sm 3.61-3.67
Sm 0.4802 0.3771 0.7500  2 Er 3.61-3.62, 4 Sm 3.62-3.66, 6 Nd 3.63-3.72
Sm 0.9802 0.6229 0.2500  2 Er 3.61-3.62, 4 Sm 3.62-3.66, 6 Nd 3.63-3.72
Nd 0.6451 0.1258 0.0000  6 Nd 3.61-3.71, 4 Sm 3.63-3.70, 2 Er 3.67-3.69
Nd 0.9819 0.1273 0.7525  1 Er 3.60, 6 Nd 3.61-3.69, 5 Sm 3.64-3.72
Nd 0.4819 0.8727 0.7475  1 Er 3.60, 6 Nd 3.61-3.69, 5 Sm 3.64-3.72
Sm 0.4802 0.3771 0.2500  2 Er 3.61-3.62, 4 Sm 3.62-3.66, 6 Nd 3.63-3.72
Er 0.6473 0.6227 0.5000  6 Nd 3.60-3.71, 6 Sm 3.61-3.67
Nd 0.9819 0.1273 0.2475  1 Er 3.60, 6 Nd 3.61-3.69, 5 Sm 3.64-3.72
Nd 0.1501 0.8733 0.0000  6 Nd 3.62-3.71, 4 Sm 3.63-3.68, 2 Er 3.65-3.71
Sm 0.9802 0.6229 0.7500  2 Er 3.61-3.62, 4 Sm 3.62-3.66, 6 Nd 3.63-3.72
Nd 0.1451 0.8742 0.5000  6 Nd 3.61-3.71, 4 Sm 3.63-3.70, 2 Er 3.67-3.69
Sm 0.1486 0.3762 0.5000  4 Sm 3.62, 6 Nd 3.64-3.70, 2 Er 3.66-3.67

E_tot = -4.69 eV per atom
distance to the lowest polymorph of the same formula = 0 meV/atom
DFT formation energy = 0.031 eV/atom



Entry from the Alexandria database: crystalline Sm3PuAl8 at its relaxed geometry (GGA-PBE).

a = 5.6110 Å, b = 5.6110 Å, c = 9.7363 Å
α = 73.25°, β = 73.25°, γ = 60.00°
With the nearest neighbours (Å) after each atom.
Element x y z (fractional)
Sm 0.9974 0.9974 0.0078  12 Al 3.25-3.36, 1 Pu 3.37, 3 Sm 3.46
Al 0.4370 0.9385 0.1875  6 Al 2.80-2.82
Pu 0.8751 0.8751 0.3748  12 Al 3.29, 4 Sm 3.37-3.42
Al 0.1878 0.1878 0.4365  6 Al 2.80-2.82
Al 0.9370 0.9370 0.6874  6 Al 2.80-2.82
Al 0.6876 0.6876 0.9371  6 Al 2.80-2.82
Al 0.9370 0.4386 0.6874  6 Al 2.80-2.82
Al 0.4386 0.9370 0.6874  6 Al 2.80-2.82
Sm 0.3752 0.3752 0.8745  12 Al 3.29-3.30, 4 Sm 3.46-3.49
Al 0.4370 0.4370 0.1875  6 Al 2.80-2.82
Al 0.9385 0.4370 0.1875  6 Al 2.80-2.82
Sm 0.5019 0.5019 0.4944  12 Al 3.25-3.32, 3 Pu 3.42, 1 Sm 3.49

E_tot = -5.32 eV per atom
DFT formation energy = -0.453 eV/atom



Entry from the Alexandria database: crystalline Tb9AlTl2 at its relaxed geometry (GGA-PBE).

a = 4.8376 Å, b = 4.8376 Å, c = 14.5210 Å
α = 90.00°, β = 90.00°, γ = 90.00°
With the nearest neighbours (Å) after each atom.
Element x y z (fractional)
Tl 0.0000 0.0000 0.6680  12 Tb 3.42-3.47
Tb 0.5000 0.5000 0.6694  4 Tl 3.42, 8 Tb 3.45-3.46
Tl 0.0000 0.0000 0.3320  12 Tb 3.42-3.47
Tb 0.0000 0.5000 0.1602  8 Tb 3.36-3.46, 2 Al 3.36, 2 Tl 3.47
Tb 0.0000 0.5000 0.8398  8 Tb 3.36-3.46, 2 Al 3.36, 2 Tl 3.47
Tb 0.5000 0.0000 0.5000  8 Tb 3.42-3.45, 4 Tl 3.44
Tb 0.5000 0.0000 0.1602  8 Tb 3.36-3.46, 2 Al 3.36, 2 Tl 3.47
Al 0.0000 0.0000 0.0000  12 Tb 3.36-3.42
Tb 0.0000 0.5000 0.5000  8 Tb 3.42-3.45, 4 Tl 3.44
Tb 0.5000 0.5000 0.0000  8 Tb 3.36, 4 Al 3.42
Tb 0.5000 0.0000 0.8398  8 Tb 3.36-3.46, 2 Al 3.36, 2 Tl 3.47
Tb 0.5000 0.5000 0.3306  4 Tl 3.42, 8 Tb 3.45-3.46

E_tot = -4.36 eV per atom
DFT formation energy = -0.186 eV/atom



Entry from the Alexandria database: crystalline Pm12Nd2Sm5 at its relaxed geometry (GGA-PBE).

a = 9.3688 Å, b = 12.5394 Å, c = 8.8582 Å
α = 132.48°, β = 90.00°, γ = 111.94°
With the nearest neighbours (Å) after each atom.
Element x y z (fractional)
Pm 0.5581 0.1161 0.7719  7 Pm 3.40-3.63, 2 Sm 3.40-3.75, 2 Nd 3.53
Pm 0.4419 0.8839 0.2281  7 Pm 3.40-3.63, 2 Sm 3.40-3.75, 2 Nd 3.53
Pm 0.6717 0.7036 0.9447  4 Pm 3.38-3.78, 1 Nd 3.41, 3 Sm 3.56-3.77
Pm 0.3283 0.2964 0.0553  4 Pm 3.38-3.78, 1 Nd 3.41, 3 Sm 3.56-3.77
Pm 0.4356 0.2628 0.5836  4 Sm 3.44-3.84, 5 Pm 3.50-3.67, 1 Nd 3.62
Sm 0.7096 0.4192 0.3853  8 Pm 3.53-3.80, 1 Sm 3.60, 2 Nd 3.71
Sm 0.7680 0.5361 0.1040  7 Pm 3.40-3.66, 2 Sm 3.60-3.72
Sm 0.2904 0.5808 0.6147  8 Pm 3.53-3.80, 1 Sm 3.60, 2 Nd 3.71
Pm 0.5644 0.7372 0.4164  4 Sm 3.44-3.84, 5 Pm 3.50-3.67, 1 Nd 3.62
Pm 0.9275 0.8551 0.7334  3 Pm 3.24-3.50, 2 Nd 3.48, 2 Sm 3.49-3.53
Pm 0.9680 0.2964 0.0553  4 Pm 3.38-3.78, 1 Nd 3.41, 3 Sm 3.56-3.77
Pm 0.1728 0.7372 0.4164  4 Sm 3.44-3.84, 5 Pm 3.50-3.67, 1 Nd 3.62
Sm 0.2320 0.4639 0.8960  7 Pm 3.40-3.66, 2 Sm 3.60-3.72
Pm 0.0320 0.7036 0.9447  4 Pm 3.38-3.78, 1 Nd 3.41, 3 Sm 3.56-3.77
Sm 0.0000 0.0000 0.5000  10 Pm 3.49-3.84, 2 Sm 3.72
Nd 0.6706 0.0000 0.0000  1 Nd 3.20, 6 Pm 3.41-3.53
Pm 0.8272 0.2628 0.5836  4 Sm 3.44-3.84, 5 Pm 3.50-3.67, 1 Nd 3.62
Nd 0.3294 0.0000 0.0000  1 Nd 3.20, 6 Pm 3.41-3.53
Pm 0.0725 0.1449 0.2666  3 Pm 3.24-3.50, 2 Nd 3.48, 2 Sm 3.49-3.53

E_tot = -4.62 eV per atom
distance to the lowest polymorph of the same formula = 23 meV/atom
DFT formation energy = 0.123 eV/atom



Entry from the Alexandria database: crystalline AcGdRu at its relaxed geometry (GGA-PBE).

a = 4.9283 Å, b = 4.5408 Å, c = 4.5408 Å
α = 120.00°, β = 90.00°, γ = 90.00°
With the nearest neighbours (Å) after each atom.
Element x y z (fractional)
Ru 0.5005 0.3333 0.6667  3 Gd 2.62
Gd 0.4999 0.6667 0.3333  3 Ru 2.62
Ac 0.9997 0.0000 0.0000  6 Ru 3.60, 6 Gd 3.60

E_tot = -9.13 eV per atom
distance to the lowest polymorph of the same formula = 161 meV/atom
DFT formation energy = 0.024 eV/atom



Entry from the Alexandria database: crystalline BaTiP2 at its relaxed geometry (GGA-PBE).

a = 7.1881 Å, b = 7.1881 Å, c = 6.6814 Å
α = 57.46°, β = 57.46°, γ = 90.00°
With the nearest neighbours (Å) after each atom.
Element x y z (fractional)
Ba 0.7500 0.2500 0.5000  4 P 3.24
Ba 0.0000 0.0000 0.0000  4 P 3.24
P 0.5318 0.1250 0.2500  2 Ti 2.38
P 0.8750 0.7818 0.7500  2 Ti 2.38
Ti 0.5000 0.5000 0.0000  4 P 2.38
P 0.3750 0.4682 0.7500  2 Ti 2.38
P 0.2182 0.6250 0.2500  2 Ti 2.38
Ti 0.2500 0.7500 0.5000  4 P 2.38

E_tot = -5.98 eV per atom
distance to the lowest polymorph of the same formula = 0 meV/atom
DFT formation energy = -0.823 eV/atom



Entry from the Alexandria database: crystalline Er6InSe4 at its relaxed geometry (GGA-PBE).

a = 3.9929 Å, b = 6.9711 Å, c = 20.6713 Å
α = 90.00°, β = 90.00°, γ = 106.64°
With the nearest neighbours (Å) after each atom.
Element x y z (fractional)
Er 0.2319 0.4637 0.9043  5 Se 2.83-2.99
Er 0.6492 0.2984 0.7500  2 Se 2.78, 2 In 3.10
Er 0.2319 0.4637 0.5957  5 Se 2.83-2.99
Er 0.0492 0.0984 0.1633  3 Se 2.84-2.89, 2 In 3.15
Se 0.5871 0.1743 0.6218  6 Er 2.77-2.84
Se 0.1420 0.2841 0.4632  6 Er 2.86-2.99
Se 0.8580 0.7159 0.9632  6 Er 2.86-2.99
In 0.3269 0.6538 0.7500  8 Er 3.10-3.43
Se 0.1420 0.2841 0.0368  6 Er 2.86-2.99
Er 0.9508 0.9016 0.6633  3 Se 2.84-2.89, 2 In 3.15
Se 0.8580 0.7159 0.5368  6 Er 2.86-2.99
Er 0.9508 0.9016 0.8367  3 Se 2.84-2.89, 2 In 3.15
Er 0.5000 0.0000 0.5000  6 Se 2.77-2.86
Se 0.5871 0.1743 0.8782  6 Er 2.77-2.84
Se 0.4129 0.8257 0.3782  6 Er 2.77-2.84
Se 0.4129 0.8257 0.1218  6 Er 2.77-2.84
Er 0.5000 0.0000 0.0000  6 Se 2.77-2.86
Er 0.7681 0.5363 0.0957  5 Se 2.83-2.99
Er 0.3508 0.7016 0.2500  2 Se 2.78, 2 In 3.10
In 0.6731 0.3462 0.2500  8 Er 3.10-3.43
Er 0.7681 0.5363 0.4043  5 Se 2.83-2.99
Er 0.0492 0.0984 0.3367  3 Se 2.84-2.89, 2 In 3.15

raw formation energy = -1.334 eV/atom
E_tot = -5.34 eV per atom